A relaxed structure of Os2RuF, computed with PBE.

Structure (CIF):
```
data_Os2RuF
_space_group_name_H-M_alt 'I -4 2 d'
_space_group_IT_number 122
_space_group_name_Hall 'I -4 2bw'
_cell_length_a 6.5093
_cell_length_b 6.5093
_cell_length_c 5.3399
_cell_angle_alpha 90.00
_cell_angle_beta 90.00
_cell_angle_gamma 90.00
loop_
_atom_site_label
_atom_site_type_symbol
_atom_site_fract_x
_atom_site_fract_y
_atom_site_fract_z
Os1 Os 0.2299 0.2500 0.1250
Ru1 Ru 0.0000 0.0000 0.5000
F1 F 0.0000 0.0000 0.0000
```

Summary:
The value obtained for the formation energy without anion corrections is 3.37 eV per formula unit.



A relaxed structure of OsRuF3, computed with PBE.

Structure (CIF):
```
data_OsRuF3
_space_group_name_H-M_alt 'P m -3 m'
_space_group_IT_number 221
_space_group_name_Hall '-P 4 2 3'
_cell_length_a 4.2476
_cell_length_b 4.2476
_cell_length_c 4.2476
_cell_angle_alpha 90.00
_cell_angle_beta 90.00
_cell_angle_gamma 90.00
loop_
_atom_site_label
_atom_site_type_symbol
_atom_site_fract_x
_atom_site_fract_y
_atom_site_fract_z
Os1 Os 0.0000 0.0000 0.0000
Ru1 Ru 0.5000 0.5000 0.5000
F1 F 0.0000 0.5000 0.5000
```

Summary:
The value obtained for the formation energy without anion corrections is 2.00 eV per formula unit.



A relaxed structure of Os3RuF, computed with PBE.

Structure (CIF):
```
data_Os3RuF
_space_group_name_H-M_alt 'P m -3 m'
_space_group_IT_number 221
_space_group_name_Hall '-P 4 2 3'
_cell_length_a 4.1562
_cell_length_b 4.1562
_cell_length_c 4.1562
_cell_angle_alpha 90.00
_cell_angle_beta 90.00
_cell_angle_gamma 90.00
loop_
_atom_site_label
_atom_site_type_symbol
_atom_site_fract_x
_atom_site_fract_y
_atom_site_fract_z
Os1 Os 0.0000 0.0000 0.5000
Ru1 Ru 0.5000 0.5000 0.5000
F1 F 0.0000 0.0000 0.0000
```

Summary:
The value obtained for the formation energy without anion corrections is 8.06 eV per formula unit.



A relaxed structure of Os3RuF, computed with PBE.

Structure (CIF):
```
data_Os3RuF
_space_group_name_H-M_alt 'P m -3 m'
_space_group_IT_number 221
_space_group_name_Hall '-P 4 2 3'
_cell_length_a 4.7076
_cell_length_b 4.7076
_cell_length_c 4.7076
_cell_angle_alpha 90.00
_cell_angle_beta 90.00
_cell_angle_gamma 90.00
loop_
_atom_site_label
_atom_site_type_symbol
_atom_site_fract_x
_atom_site_fract_y
_atom_site_fract_z
Os1 Os 0.0000 0.0000 0.5000
Ru1 Ru 0.0000 0.0000 0.0000
F1 F 0.5000 0.5000 0.5000
```

Summary:
The value obtained for the formation energy without anion corrections is 11.89 eV per formula unit.



no.,energy relative to the lowest polymorph listed for this composition (meV/atom),density of states at the Fermi level (states/eV per atom)
1,312,1.1996
2,107,1.3530
3,0,0.9072
4,765,1.2417